The following is a DFT calculation (PBE) of AcPN3 after structural relaxation.

```
AcPN3
1.0
-3.7726 0.2371 -0.6465
-0.6872 -1.5274 3.4498
-0.0442 3.5096 1.5451
N Ac P
3 1 1
Direct
0.0000 0.0000 0.5000
0.5000 0.0000 0.0000
0.0000 0.5000 0.0000
0.5000 0.5000 0.5000
0.0000 0.0000 0.0000
```

Summary:
The symmetry is No. 221. Its volume is 56.4 Å³/f.u. Its total magnetization is 0.85 μB/cell. Its calculated total energy is -7.04 eV/atom.